Entry from Alexandria via LeMat-Bulk: crystalline Nd2NiSnO6 at its relaxed geometry (GGA+U).

Geometry as POSCAR:
```
Nd2NiSnO6
1.0
-0.645 4.531 3.163
-3.450 2.342 -4.058
-6.386 -3.269 3.543
O Nd Ni Sn
12 4 2 2
Cartesian
-9.285 2.430 2.644
-6.459 -0.880 1.131
-5.443 1.578 -0.325
-6.831 3.693 1.245
-5.039 2.027 2.972
-2.955 2.817 -1.683
-4.023 4.485 1.516
-1.196 1.174 0.003
-3.650 -0.089 1.402
-8.354 1.576 -0.012
-7.527 0.787 4.331
-2.128 2.028 2.659
-5.628 2.142 5.510
-4.854 1.462 -2.862
-7.067 1.209 2.023
-3.415 2.395 0.624
-0.323 2.266 1.581
-4.918 -0.463 -0.258
-3.516 0.631 3.353
-1.725 1.171 -2.029
```

Volume: 13.0 A^3/atom
D(E_F): 0.00 states/eV/cell
E: -70.104 eV/f.u.